[1]
This record from Alexandria via LeMat-Bulk describes a geometry-optimized CaCdIn structure. The functional is GGA-PBE.

## Properties
Energy of formation ... -28.85 kJ/mol of atoms
E_tot ... -2.1840 eV/atom

a b c (Å): 6.4923 6.4925 3.6924
angles (deg): 73.48 73.48 33.04
Element x y z (fractional)
Ca 0.9967 0.9967 0.0033
In 0.6788 0.6788 0.3212
Cd 0.3246 0.3246 0.6754

***

[2]
This record from Alexandria via LeMat-Bulk describes a geometry-optimized Ca4Cd3In2 structure. The functional is GGA-PBE.

## Properties
Energy of formation ... -33.26 kJ/mol of atoms
E_tot ... -2.1479 eV/atom

a b c (Å): 5.3550 5.3563 10.1310
angles (deg): 89.94 90.00 60.01
Element x y z (fractional)
Ca 0.6665 0.6669 0.8841
Ca 0.0003 0.9995 0.3270
Ca 0.9997 0.0005 0.6730
Ca 0.3335 0.3331 0.1159
Cd 0.3335 0.3331 0.4876
Cd 0.0000 0.0000 0.0000
Cd 0.6665 0.6669 0.5124
In 0.3331 0.3337 0.7925
In 0.6669 0.6663 0.2075

***

[3]
This record from Alexandria via LeMat-Bulk describes a geometry-optimized Ca2Cd8In structure. The functional is GGA-PBE.

## Properties
Energy of formation ... -17.52 kJ/mol of atoms
E_tot ... -1.4600 eV/atom

a b c (Å): 5.1786 7.2430 10.6808
angles (deg): 125.52 116.98 87.55
Element x y z (fractional)
Ca 0.5866 0.5978 0.3074
Ca 0.4134 0.4022 0.6926
In 0.5000 0.0000 0.0000
Cd 0.1170 0.3239 0.3160
Cd 0.9552 0.1300 0.7199
Cd 0.7900 0.3476 0.0030
Cd 0.6495 0.1420 0.3871
Cd 0.3505 0.8580 0.6129
Cd 0.2100 0.6524 0.9970
Cd 0.0448 0.8700 0.2801
Cd 0.8830 0.6761 0.6840

***

[4]
This record from Alexandria via LeMat-Bulk describes a geometry-optimized CaCd2In structure. The functional is GGA-PBE.

## Properties
Energy of formation ... -22.78 kJ/mol of atoms
E_tot ... -1.8786 eV/atom

a b c (Å): 5.0907 3.5130 5.9405
angles (deg): 89.98 90.00 90.00
Element x y z (fractional)
Ca 0.5000 0.7500 0.7500
Cd 0.0000 0.2494 0.9932
Cd 0.0000 0.2506 0.5068
In 0.5000 0.2500 0.2500

***

[5]
This record from Alexandria via LeMat-Bulk describes a geometry-optimized Ca4CdIn3 structure. The functional is GGA-PBE.

## Properties
Energy of formation ... -43.84 kJ/mol of atoms
E_tot ... -2.5964 eV/atom

a b c (Å): 5.4445 5.4435 8.6244
angles (deg): 108.42 108.40 90.00
Element x y z (fractional)
Ca 0.3759 0.3758 0.7517
Ca 0.6241 0.6242 0.2483
Ca 0.1241 0.1242 0.2483
Ca 0.8759 0.8758 0.7517
In 0.0000 0.5000 0.0000
In 0.7500 0.2498 0.5000
In 0.2500 0.7502 0.5000
Cd 0.5000 0.0000 0.0000

***

[6]
This record from Alexandria via LeMat-Bulk describes a geometry-optimized Ca3Cd2In9 structure. The functional is GGA-PBE.

## Properties
Energy of formation ... -24.49 kJ/mol of atoms
E_tot ... -2.5739 eV/atom

a b c (Å): 4.8010 9.2640 9.2640
angles (deg): 75.91 74.98 74.98
Element x y z (fractional)
Ca 0.0000 0.0000 0.0000
Ca 0.6986 0.3014 0.3014
Ca 0.3014 0.6986 0.6986
Cd 0.5000 0.3246 0.6754
Cd 0.5000 0.6754 0.3246
In 0.0000 0.5000 0.5000
In 0.6458 0.9815 0.7269
In 0.3542 0.0185 0.2731
In 0.6458 0.7269 0.9815
In 0.3542 0.2731 0.0185
In 0.8516 0.8654 0.4315
In 0.1484 0.1346 0.5685
In 0.8516 0.4315 0.8654
In 0.1484 0.5685 0.1346

***

[7]
This record from Alexandria via LeMat-Bulk describes a geometry-optimized CaCdIn6 structure. The functional is GGA-PBE.

## Properties
Energy of formation ... -11.60 kJ/mol of atoms
E_tot ... -2.5387 eV/atom

a b c (Å): 4.7420 6.7106 6.7106
angles (deg): 84.35 90.00 90.00
Element x y z (fractional)
Ca 0.5000 0.0000 0.0000
Cd 0.5000 0.5000 0.5000
In 0.0000 0.7352 0.2648
In 0.0000 0.2648 0.7352
In 0.0000 0.7591 0.7591
In 0.0000 0.2409 0.2409
In 0.5000 0.5000 0.0000
In 0.5000 0.0000 0.5000

***

[8]
This record from Alexandria via LeMat-Bulk describes a geometry-optimized Ca5Cd12In2 structure. The functional is GGA-PBE.

## Properties
Energy of formation ... -21.63 kJ/mol of atoms
E_tot ... -1.6171 eV/atom

a b c (Å): 7.5988 7.7898 9.3335
angles (deg): 65.34 87.58 90.00
Element x y z (fractional)
Ca 0.5653 0.7562 0.4875
Ca 0.0369 0.6957 0.6086
Ca 0.5000 0.0000 0.0000
Ca 0.9631 0.3043 0.3914
Ca 0.4347 0.2438 0.5125
Cd 0.0959 0.1158 0.7683
Cd 0.7487 0.3418 0.6988
Cd 0.7487 0.9594 0.6988
Cd 0.3515 0.4158 0.7754
Cd 0.3515 0.8087 0.7754
Cd 0.6800 0.5500 0.9000
Cd 0.3200 0.4500 0.1000
Cd 0.6485 0.5842 0.2246
Cd 0.6485 0.1913 0.2246
Cd 0.2513 0.6582 0.3012
Cd 0.2513 0.0406 0.3012
Cd 0.9041 0.8842 0.2317
In 0.0000 0.7150 0.0000
In 0.0000 0.2850 0.0000

***

[9]
This record from Alexandria via LeMat-Bulk describes a geometry-optimized Ca2CdIn2 structure. The functional is GGA-PBE.

## Properties
Energy of formation ... -30.68 kJ/mol of atoms
E_tot ... -2.3970 eV/atom
Energy above the lowest structure with this stoichiometry ... 0.37 eV per formula unit

a b c (Å): 8.3624 8.3624 4.1420
angles (deg): 90.00 90.00 90.00
Element x y z (fractional)
Ca 0.1704 0.6704 0.5000
Ca 0.6704 0.8296 0.5000
Ca 0.8296 0.3296 0.5000
Ca 0.3296 0.1704 0.5000
Cd 0.0000 0.0000 0.0000
Cd 0.5000 0.5000 0.0000
In 0.3705 0.8705 0.0000
In 0.8705 0.6295 0.0000
In 0.6295 0.1295 0.0000
In 0.1295 0.3705 0.0000

***

[10]
This record from Alexandria via LeMat-Bulk describes a geometry-optimized CaCdIn structure. The functional is GGA-PBE.

## Properties
Energy of formation ... -23.22 kJ/mol of atoms
E_tot ... -2.1257 eV/atom

a b c (Å): 5.0164 5.0164 5.0164
angles (deg): 60.00 60.00 60.00
Element x y z (fractional)
Ca 0.5000 0.5000 0.5000
Cd 0.7500 0.7500 0.7500
In 0.0000 0.0000 0.0000

***

[11]
This record from Alexandria via LeMat-Bulk describes a geometry-optimized Ca2CdIn6 structure. The functional is GGA-PBE.

## Properties
Energy of formation ... -18.39 kJ/mol of atoms
E_tot ... -2.5627 eV/atom

a b c (Å): 3.6610 8.4959 9.2470
angles (deg): 117.35 101.35 90.00
Element x y z (fractional)
Ca 0.1317 0.1322 0.2644
Ca 0.8683 0.8678 0.7356
Cd 0.0000 0.5000 0.0000
In 0.3191 0.4920 0.6381
In 0.6809 0.5080 0.3619
In 0.6809 0.8540 0.3619
In 0.5000 0.2129 0.0000
In 0.5000 0.7871 0.0000
In 0.3191 0.1460 0.6381

***

[12]
This record from Alexandria via LeMat-Bulk describes a geometry-optimized CaCd2In structure. The functional is GGA-PBE.

## Properties
Energy of formation ... -8.50 kJ/mol of atoms
E_tot ... -1.7306 eV/atom

a b c (Å): 3.7957 3.7957 9.4124
angles (deg): 78.37 78.37 60.00
Element x y z (fractional)
Ca 0.6667 0.6667 0.0000
Cd 0.0878 0.0878 0.7365
Cd 0.2455 0.2455 0.2634
In 0.5000 0.5000 0.5001

***

[13]
This record from Alexandria via LeMat-Bulk describes a geometry-optimized Ca3CdIn structure. The functional is GGA-PBE.

## Properties
Energy of formation ... -33.94 kJ/mol of atoms
E_tot ... -2.2835 eV/atom
Energy above the lowest structure with this stoichiometry ... 0.00 eV per formula unit

a b c (Å): 5.4743 5.4746 10.7489
angles (deg): 90.00 75.25 90.00
Element x y z (fractional)
Ca 0.7559 0.2500 0.1366
Ca 0.3931 0.2500 0.8621
Ca 0.5745 0.2500 0.4994
Ca 0.2552 0.7500 0.1379
Ca 0.8925 0.7500 0.8634
Ca 0.0739 0.7500 0.5006
Cd 0.4806 0.7500 0.6871
Cd 0.1677 0.2500 0.3129
In 0.6678 0.7500 0.3127
In 0.9805 0.2500 0.6873

***

[14]
This record from Alexandria via LeMat-Bulk describes a geometry-optimized Ca2CdIn structure. The functional is GGA-PBE.

## Properties
Energy of formation ... -32.60 kJ/mol of atoms
E_tot ... -2.2521 eV/atom
Energy above the lowest structure with this stoichiometry ... 0.37 eV per formula unit

a b c (Å): 6.2702 6.2702 5.5002
angles (deg): 70.48 70.48 35.38
Element x y z (fractional)
Ca 0.9805 0.9805 0.0419
Ca 0.7712 0.7712 0.7051
Cd 0.5213 0.5213 0.5180
In 0.2271 0.2271 0.2351

***

[15]
This record from Alexandria via LeMat-Bulk describes a geometry-optimized CaCd2In structure. The functional is GGA-PBE.

## Properties
Energy of formation ... -30.46 kJ/mol of atoms
E_tot ... -1.9583 eV/atom

a b c (Å): 4.7815 6.1456 7.6317
angles (deg): 90.00 90.00 112.71
Element x y z (fractional)
Ca 0.0811 0.1605 0.2500
Ca 0.9189 0.8395 0.7500
Cd 0.3775 0.7545 0.0537
Cd 0.3775 0.7545 0.4463
Cd 0.6225 0.2455 0.9463
Cd 0.6225 0.2455 0.5537
In 0.7894 0.5767 0.2500
In 0.2106 0.4233 0.7500

***

[16]
This record from Alexandria via LeMat-Bulk describes a geometry-optimized Ca3Cd2In structure. The functional is GGA-PBE.

## Properties
Energy of formation ... -39.41 kJ/mol of atoms
E_tot ... -2.1707 eV/atom
Energy above the lowest structure with this stoichiometry ... 0.00 eV per formula unit

a b c (Å): 3.9639 5.3644 8.4566
angles (deg): 108.49 90.00 90.00
Element x y z (fractional)
Ca 0.5000 0.5000 0.0000
Ca 0.5000 0.8330 0.6660
Ca 0.5000 0.1670 0.3340
Cd 0.0000 0.3352 0.6704
Cd 0.0000 0.6648 0.3296
In 0.0000 0.0000 0.0000

***

[17]
This record from Alexandria via LeMat-Bulk describes a geometry-optimized CaCd2In structure. The functional is GGA-PBE.

## Properties
Energy of formation ... -21.16 kJ/mol of atoms
E_tot ... -1.8619 eV/atom

a b c (Å): 3.8397 3.8375 7.1249
angles (deg): 90.00 90.00 90.00
Element x y z (fractional)
Ca 0.5000 0.5000 0.7500
Cd 0.0000 0.0000 0.0146
Cd 0.0000 0.0000 0.4854
In 0.5000 0.5000 0.2500

***

[18]
This record from Alexandria via LeMat-Bulk describes a geometry-optimized Ca2CdIn structure. The functional is GGA-PBE.

## Properties
Energy of formation ... -25.18 kJ/mol of atoms
E_tot ... -2.1752 eV/atom
Energy above the lowest structure with this stoichiometry ... 0.67 eV per formula unit

a b c (Å): 6.1045 6.1045 6.1045
angles (deg): 133.87 133.87 67.29
Element x y z (fractional)
Ca 0.0000 0.0000 0.0000
Ca 0.2500 0.7500 0.5000
Cd 0.5000 0.5000 0.0000
In 0.7500 0.2500 0.5000

***

[19]
This record from Alexandria via LeMat-Bulk describes a geometry-optimized Ca6CdIn5 structure. The functional is GGA-PBE.

## Properties
Energy of formation ... -43.89 kJ/mol of atoms
E_tot ... -2.6729 eV/atom

a b c (Å): 5.4487 7.7070 8.6336
angles (deg): 90.00 71.61 90.00
Element x y z (fractional)
Ca 0.8337 0.7496 0.3326
Ca 0.8337 0.2504 0.3326
Ca 0.5000 0.2503 0.0000
Ca 0.5000 0.7497 0.0000
Ca 0.1663 0.7496 0.6674
Ca 0.1663 0.2504 0.6674
In 0.6672 0.5000 0.6656
In 0.3335 0.0000 0.3330
In 0.0000 0.5000 0.0000
In 0.6665 0.0000 0.6670
In 0.3328 0.5000 0.3344
Cd 0.0000 0.0000 0.0000

***

[20]
This record from Alexandria via LeMat-Bulk describes a geometry-optimized Ca2CdIn2 structure. The functional is GGA-PBE.

## Properties
Energy of formation ... -36.56 kJ/mol of atoms
E_tot ... -2.4580 eV/atom
Energy above the lowest structure with this stoichiometry ... 0.07 eV per formula unit

a b c (Å): 3.6223 4.9047 8.1464
angles (deg): 107.52 90.00 90.00
Element x y z (fractional)
Ca 0.0000 0.6945 0.3889
Ca 0.0000 0.9226 0.8451
Cd 0.5000 0.1092 0.2185
In 0.5000 0.3069 0.6137
In 0.5000 0.5090 0.0179